1.
## PmGdSiAg (PBE-GGA)

Data for a relaxed structure of PmGdSiAg.

Computed properties:
uncorrected formation energy = -0.44 eV per atom
space-group type = F-43m, No. 216

abc: 5.137 5.137 5.137
angles: 60.00 60.00 60.00
Fractional coordinates of all 4 atoms:
Pm 0.000 0.000 0.000
Gd 0.500 0.500 0.500
Si 0.750 0.750 0.750
Ag 0.250 0.250 0.250

---

2.
## PmGdAgSn (PBE-GGA)

Data for a relaxed structure of PmGdAgSn.

Computed properties:
space-group type = F-43m, No. 216
ΔH_f (0 K) = -0.5361 eV per atom

abc: 5.324 5.324 5.324
angles: 60.00 60.00 60.00
Fractional coordinates of all 4 atoms:
Pm 0.000 0.000 0.000
Gd 0.500 0.500 0.500
Ag 0.750 0.750 0.750
Sn 0.250 0.250 0.250

---

3.
## PmGdTcAg (PBE-GGA)

Data for a relaxed structure of PmGdTcAg.

Computed properties:
space-group type = F-43m, No. 216
ΔH_f (0 K) = -0.0379 eV per atom

abc: 5.057 5.057 5.057
angles: 60.00 60.00 60.00
Fractional coordinates of all 4 atoms:
Pm 0.000 0.000 0.000
Gd 0.500 0.500 0.500
Tc 0.250 0.250 0.250
Ag 0.750 0.750 0.750

---

4.
## PmGdAgTe (PBE-GGA)

Data for a relaxed structure of PmGdAgTe.

Computed properties:
uncorrected formation energy = -0.64 eV per atom
space-group type = F-43m, No. 216

abc: 5.338 5.338 5.338
angles: 60.00 60.00 60.00
Fractional coordinates of all 4 atoms:
Pm 0.000 0.000 0.000
Gd 0.500 0.500 0.500
Ag 0.750 0.750 0.750
Te 0.250 0.250 0.250

---

5.
## PmGdTmAg (PBE-GGA)

Data for a relaxed structure of PmGdTmAg.

Computed properties:
space-group type = F-43m, No. 216
ΔH_f (0 K) = 0.0847 eV per atom

abc: 5.361 5.361 5.361
angles: 60.00 60.00 60.00
Fractional coordinates of all 4 atoms:
Pm 0.000 0.000 0.000
Gd 0.250 0.250 0.250
Tm 0.750 0.750 0.750
Ag 0.500 0.500 0.500

---

6.
## PmGdZnAg (PBE-GGA)

Data for a relaxed structure of PmGdZnAg.

Computed properties:
space-group type = F-43m, No. 216
ΔH_f (0 K) = -0.3015 eV per atom

abc: 5.187 5.187 5.187
angles: 60.00 60.00 60.00
Fractional coordinates of all 4 atoms:
Pm 0.000 0.000 0.000
Gd 0.500 0.500 0.500
Zn 0.250 0.250 0.250
Ag 0.750 0.750 0.750

---

7.
## Pr2GdAg (PBE-GGA)

Data for a relaxed structure of Pr2GdAg.

Computed properties:
E above lowest polymorph = 0.0968 eV/atom
space-group type = R-3m, No. 166
ΔH_f (0 K) = -0.0010 eV per atom

abc: 10.994 10.994 10.994
angles: 19.20 19.20 19.20
Fractional coordinates of all 4 atoms:
Pr 0.242 0.242 0.242
Pr 0.758 0.758 0.758
Gd 0.000 0.000 0.000
Ag 0.500 0.500 0.500

---

8.
## Pr2GdAg (PBE-GGA)

Data for a relaxed structure of Pr2GdAg.

Computed properties:
E above lowest polymorph = 0.1592 eV/atom
space-group type = Fm-3m, No. 225
ΔH_f (0 K) = 0.0614 eV per atom

abc: 5.529 5.529 5.529
angles: 60.00 60.00 60.00
Fractional coordinates of all 4 atoms:
Pr 0.250 0.250 0.250
Pr 0.750 0.750 0.750
Gd 0.000 0.000 0.000
Ag 0.500 0.500 0.500

---

9.
## PrGdAg (PBE-GGA)

Data for a relaxed structure of PrGdAg.

Computed properties:
E above lowest polymorph = 0.1438 eV/atom
space-group type = P3m1, No. 156
ΔH_f (0 K) = -0.0246 eV per atom

abc: 5.133 5.133 3.743
angles: 90.00 90.00 120.00
Fractional coordinates of all 3 atoms:
Pr 0.000 0.000 0.000
Gd 0.333 0.667 0.564
Ag 0.667 0.333 0.326

---

10.
## PrGdAg (PBE-GGA)

Data for a relaxed structure of PrGdAg.

Computed properties:
E above lowest polymorph = 0.0000 eV/atom
space-group type = I4mm, No. 107
ΔH_f (0 K) = -0.1684 eV per atom

abc: 6.819 6.819 6.819
angles: 148.40 148.40 45.30
Fractional coordinates of all 3 atoms:
Pr 0.000 0.000 0.000
Gd 0.702 0.702 0.000
Ag 0.341 0.341 0.000

---

11.
## Pr2GdAg (PBE-GGA)

Data for a relaxed structure of Pr2GdAg.

Computed properties:
E above lowest polymorph = 0.0000 eV/atom
space-group type = P4/mmm, No. 123
ΔH_f (0 K) = -0.0978 eV per atom

abc: 3.733 3.733 8.869
angles: 90.00 90.00 90.00
Fractional coordinates of all 4 atoms:
Pr 0.000 0.000 0.218
Pr 0.000 0.000 0.782
Gd 0.500 0.500 0.500
Ag 0.500 0.500 0.000

---

12.
## PrGdAgRu (PBE-GGA)

Data for a relaxed structure of PrGdAgRu.

Computed properties:
space-group type = F-43m, No. 216
ΔH_f (0 K) = -0.2213 eV per atom

abc: 5.086 5.086 5.086
angles: 60.00 60.00 60.00
Fractional coordinates of all 4 atoms:
Pr 0.000 0.000 0.000
Gd 0.500 0.500 0.500
Ag 0.250 0.250 0.250
Ru 0.750 0.750 0.750

---

Number 1: total moment 7.84 μB per formula unit, total energy -28.88 eV/cell. Number 2: total moment 7.92 μB per formula unit, total energy -27.83 eV/cell. Number 3: total moment 7.01 μB per formula unit, total energy -32.20 eV/cell. Number 4: total moment 8.63 μB per formula unit, total energy -27.38 eV/cell. Number 5: total moment 9.39 μB per formula unit, total energy -25.82 eV/cell. Number 6: total moment 7.48 μB per formula unit, total energy -24.16 eV/cell. Number 7: total moment 7.20 μB per formula unit, total energy -26.50 eV/cell. Number 8: total moment 7.64 μB per formula unit, total energy -26.25 eV/cell. Number 9: total moment 7.35 μB per formula unit, total energy -21.79 eV/cell. Number 10: total moment 8.05 μB per formula unit, total energy -22.22 eV/cell. Number 11: total moment 7.96 μB per formula unit, total energy -26.88 eV/cell. Number 12: total moment 7.12 μB per formula unit, total energy -31.87 eV/cell.